# 1
{"formula": "CaTb2Sm4", "functional": "PBE", "state": "relaxed", "space_group": "R-3m", "final_energy_ev_per_atom": -4.27, "magmom_total_mub_per_fu": 0.00, "e_form_kj_per_mol_fu": 21, "lattice": [[1.812, 1.046, 20.976], [-1.812, 1.046, 20.976], [0.000, -2.092, 20.976]], "species": ["Ca", "Tb", "Tb", "Sm", "Sm", "Sm", "Sm"], "fractional_positions": [[0.000, 0.000, 0.000], [0.430, 0.430, 0.430], [0.570, 0.570, 0.570], [0.143, 0.143, 0.143], [0.282, 0.282, 0.282], [0.718, 0.718, 0.718], [0.857, 0.857, 0.857]]}

---

# 2
{"formula": "CaTbSm2Te4", "functional": "PBE", "state": "relaxed", "formation_energy_uncorrected_ev_per_atom": -1.42, "space_group": "P2/m", "final_energy_ev_per_atom": -5.00, "magmom_total_mub_per_fu": 0.00, "lattice": [[7.678, 0.000, 0.000], [0.000, 4.402, 0.000], [-2.510, 0.000, 7.300]], "species": ["Ca", "Tb", "Sm", "Sm", "Te", "Te", "Te", "Te"], "fractional_positions": [[0.000, 0.000, 0.000], [0.500, 0.500, 0.000], [0.000, 0.500, 0.500], [0.500, 0.000, 0.500], [0.250, 0.500, 0.246], [0.252, 0.000, 0.756], [0.748, 0.000, 0.244], [0.750, 0.500, 0.754]]}

---

# 3
{"formula": "Ca3TbSm3Te8", "functional": "PBE", "state": "relaxed", "formation_energy_uncorrected_ev_per_atom": -1.51, "space_group": "R-3m", "final_energy_ev_per_atom": -4.84, "magmom_total_mub_per_fu": 0.00, "lattice": [[4.428, 2.557, 7.385], [-4.428, 2.557, 7.385], [0.000, -5.113, 7.385]], "species": ["Ca", "Ca", "Ca", "Tb", "Sm", "Sm", "Sm", "Te", "Te", "Te", "Te", "Te", "Te", "Te", "Te"], "fractional_positions": [[0.000, 0.500, 0.500], [0.500, 0.000, 0.500], [0.500, 0.500, 0.000], [0.500, 0.500, 0.500], [0.000, 0.000, 0.500], [0.000, 0.500, 0.000], [0.500, 0.000, 0.000], [0.250, 0.250, 0.250], [0.250, 0.749, 0.749], [0.251, 0.251, 0.750], [0.251, 0.750, 0.251], [0.749, 0.250, 0.749], [0.749, 0.749, 0.250], [0.750, 0.251, 0.251], [0.750, 0.750, 0.750]]}

---

# 4
{"formula": "CaTb3Sm3Te8", "functional": "PBE", "state": "relaxed", "formation_energy_uncorrected_ev_per_atom": -1.43, "space_group": "R-3m", "final_energy_ev_per_atom": -5.11, "magmom_total_mub_per_fu": 0.00, "lattice": [[4.400, 2.540, 7.205], [-4.400, 2.540, 7.205], [0.000, -5.081, 7.205]], "species": ["Ca", "Tb", "Tb", "Tb", "Sm", "Sm", "Sm", "Te", "Te", "Te", "Te", "Te", "Te", "Te", "Te"], "fractional_positions": [[0.000, 0.000, 0.000], [0.000, 0.500, 0.500], [0.500, 0.000, 0.500], [0.500, 0.500, 0.000], [0.000, 0.000, 0.500], [0.000, 0.500, 0.000], [0.500, 0.000, 0.000], [0.252, 0.252, 0.252], [0.255, 0.255, 0.741], [0.255, 0.741, 0.255], [0.259, 0.745, 0.745], [0.741, 0.255, 0.255], [0.745, 0.259, 0.745], [0.745, 0.745, 0.259], [0.748, 0.748, 0.748]]}

---

# 5
{"formula": "Ca4TbSm3Te8", "functional": "PBE", "state": "relaxed", "formation_energy_uncorrected_ev_per_atom": -1.49, "space_group": "R-3m", "final_energy_ev_per_atom": -4.74, "magmom_total_mub_per_fu": 0.00, "lattice": [[4.422, 2.553, 7.408], [-4.422, 2.553, 7.408], [0.000, -5.106, 7.408]], "species": ["Ca", "Ca", "Ca", "Ca", "Tb", "Sm", "Sm", "Sm", "Te", "Te", "Te", "Te", "Te", "Te", "Te", "Te"], "fractional_positions": [[0.000, 0.000, 0.000], [0.000, 0.500, 0.500], [0.500, 0.000, 0.500], [0.500, 0.500, 0.000], [0.500, 0.500, 0.500], [0.000, 0.000, 0.500], [0.000, 0.500, 0.000], [0.500, 0.000, 0.000], [0.251, 0.251, 0.251], [0.251, 0.251, 0.747], [0.251, 0.747, 0.251], [0.253, 0.749, 0.749], [0.747, 0.251, 0.251], [0.749, 0.253, 0.749], [0.749, 0.749, 0.253], [0.749, 0.749, 0.749]]}

---

# 6
{"formula": "Ca4Tb3SmTe8", "functional": "PBE", "state": "relaxed", "formation_energy_uncorrected_ev_per_atom": -1.47, "space_group": "R-3m", "final_energy_ev_per_atom": -4.71, "magmom_total_mub_per_fu": 0.00, "lattice": [[4.407, 2.544, 7.370], [-4.407, 2.544, 7.370], [0.000, -5.089, 7.370]], "species": ["Ca", "Ca", "Ca", "Ca", "Tb", "Tb", "Tb", "Sm", "Te", "Te", "Te", "Te", "Te", "Te", "Te", "Te"], "fractional_positions": [[0.000, 0.000, 0.000], [0.000, 0.500, 0.500], [0.500, 0.000, 0.500], [0.500, 0.500, 0.000], [0.000, 0.000, 0.500], [0.000, 0.500, 0.000], [0.500, 0.000, 0.000], [0.500, 0.500, 0.500], [0.246, 0.751, 0.751], [0.249, 0.249, 0.249], [0.249, 0.249, 0.754], [0.249, 0.754, 0.249], [0.751, 0.246, 0.751], [0.751, 0.751, 0.246], [0.751, 0.751, 0.751], [0.754, 0.249, 0.249]]}

---

# 7
{"formula": "Ca2TbSm3Te6", "functional": "PBE", "state": "relaxed", "formation_energy_uncorrected_ev_per_atom": -1.45, "space_group": "C2/m", "final_energy_ev_per_atom": -4.92, "magmom_total_mub_per_fu": 0.00, "lattice": [[3.822, -6.626, 0.000], [3.822, 6.626, 0.000], [-2.557, 0.000, 7.364]], "species": ["Ca", "Ca", "Tb", "Sm", "Sm", "Sm", "Te", "Te", "Te", "Te", "Te", "Te"], "fractional_positions": [[0.166, 0.834, 0.000], [0.834, 0.166, 0.000], [0.500, 0.500, 0.000], [0.000, 0.000, 0.500], [0.328, 0.672, 0.500], [0.672, 0.328, 0.500], [0.088, 0.419, 0.756], [0.253, 0.253, 0.250], [0.419, 0.088, 0.756], [0.581, 0.912, 0.244], [0.747, 0.747, 0.750], [0.912, 0.581, 0.244]]}

---

# 8
{"formula": "Ca2TbSmTe4", "functional": "PBE", "state": "relaxed", "formation_energy_uncorrected_ev_per_atom": -1.48, "space_group": "P2/m", "final_energy_ev_per_atom": -4.72, "magmom_total_mub_per_fu": 0.00, "lattice": [[7.645, 0.000, 0.000], [0.000, 4.416, 0.000], [-2.556, 0.000, 7.391]], "species": ["Ca", "Ca", "Tb", "Sm", "Te", "Te", "Te", "Te"], "fractional_positions": [[0.000, 0.000, 0.000], [0.500, 0.500, 0.000], [0.000, 0.500, 0.500], [0.500, 0.000, 0.500], [0.247, 0.000, 0.748], [0.247, 0.500, 0.250], [0.753, 0.000, 0.252], [0.753, 0.500, 0.750]]}